--- 1 ---
VASP calculation (PBE) on a geometry-optimized Er6Ga2Ag structure. Values from VASP.

Values from the calculation:
Total magnetization   0.0 Bohr magnetons per cell
Volume   469 Å³/cell

Cell and atoms, written as Quantum ESPRESSO input:
```
&SYSTEM
  ibrav = 0, nat = 18, ntyp = 3
/
ATOMIC_SPECIES
Er 167.26 Er.upf
Ga 69.72 Ga.upf
Ag 107.87 Ag.upf
ATOMIC_POSITIONS crystal
Er 0.547 0.727 0.820
Er 0.453 0.273 0.180
Er 0.093 0.273 0.820
Er 0.907 0.727 0.180
Er 0.804 0.751 0.555
Er 0.196 0.249 0.445
Er 0.196 0.751 0.948
Er 0.804 0.249 0.052
Er 0.705 0.381 0.676
Er 0.295 0.619 0.324
Er 0.295 0.971 0.676
Er 0.705 0.029 0.324
Ga 0.500 0.377 0.877
Ga 0.500 0.623 0.123
Ga 0.645 0.000 0.645
Ga 0.355 0.000 0.355
Ag 0.000 0.500 0.500
Ag 0.000 0.000 0.000
CELL_PARAMETERS angstrom
7.940 0.006 -2.998
-4.151 7.017 -2.357
-0.184 -0.006 8.485
```



--- 2 ---
VASP calculation (PBE) on a geometry-optimized Er6Ga2Ag structure. Values from VASP.

Values from the calculation:
Total magnetization   0.0 Bohr magnetons per cell
Volume   254 Å³/cell

Cell and atoms, written as Quantum ESPRESSO input:
```
&SYSTEM
  ibrav = 0, nat = 9, ntyp = 3
/
ATOMIC_SPECIES
Er 167.26 Er.upf
Ga 69.72 Ga.upf
Ag 107.87 Ag.upf
ATOMIC_POSITIONS crystal
Er 0.167 0.416 0.335
Er 0.833 0.081 0.665
Er 0.833 0.584 0.665
Er 0.500 0.251 0.000
Er 0.167 0.919 0.335
Er 0.500 0.749 0.000
Ga 0.667 0.667 0.334
Ga 0.333 0.333 0.666
Ag 0.000 0.000 0.000
CELL_PARAMETERS angstrom
4.882 0.000 -0.189
0.000 7.001 0.000
-2.156 -3.501 7.529
```



Relative calculated energies, zero for the most stable structure, unit eV/atom: 1 0.000; 2 0.197.



--- 1 ---
VASP calculation (PBE) on a geometry-optimized ErAg2Ge structure. Values from VASP.

Values from the calculation:
Total magnetization   0.0 Bohr magnetons per cell
Volume   81 Å³/cell

Cell and atoms, written as Quantum ESPRESSO input:
```
&SYSTEM
  ibrav = 0, nat = 4, ntyp = 3
/
ATOMIC_SPECIES
Ge 72.64 Ge.upf
Ag 107.87 Ag.upf
Er 167.26 Er.upf
ATOMIC_POSITIONS crystal
Ge 0.500 0.500 0.500
Ag 0.000 0.000 0.500
Ag 0.000 0.500 0.000
Er 0.500 0.000 0.000
CELL_PARAMETERS angstrom
-3.525 -0.719 3.060
2.452 -2.495 2.239
1.276 3.260 2.236
```



--- 2 ---
VASP calculation (PBE) on a geometry-optimized ErAg2Ge structure. Values from VASP.

Values from the calculation:
Total magnetization   0.0 Bohr magnetons per cell
Volume   87 Å³/cell

Cell and atoms, written as Quantum ESPRESSO input:
```
&SYSTEM
  ibrav = 0, nat = 4, ntyp = 3
/
ATOMIC_SPECIES
Ge 72.64 Ge.upf
Ag 107.87 Ag.upf
Er 167.26 Er.upf
ATOMIC_POSITIONS crystal
Ge 0.500 0.500 0.500
Ag 0.092 0.092 0.723
Ag 0.908 0.908 0.277
Er 0.000 0.000 0.000
CELL_PARAMETERS angstrom
3.086 0.000 0.000
1.543 2.673 0.000
1.543 0.891 10.492
```



Relative calculated energies, zero for the most stable structure, unit eV/atom: 1 0.000; 2 0.563.



--- 1 ---
VASP calculation (PBE) on a geometry-optimized Er2HfAg structure. Values from VASP.

Values from the calculation:
Total magnetization   0.0 Bohr magnetons per cell
Volume   101 Å³/cell

Cell and atoms, written as Quantum ESPRESSO input:
```
&SYSTEM
  ibrav = 0, nat = 4, ntyp = 3
/
ATOMIC_SPECIES
Hf 178.49 Hf.upf
Ag 107.87 Ag.upf
Er 167.26 Er.upf
ATOMIC_POSITIONS crystal
Hf 0.000 0.000 0.000
Ag 0.500 0.500 0.500
Er 0.092 0.092 0.723
Er 0.908 0.908 0.277
CELL_PARAMETERS angstrom
3.196 0.000 0.000
1.598 2.767 0.000
1.598 0.922 11.396
```



--- 2 ---
VASP calculation (PBE) on a geometry-optimized Er2HfAg structure. Values from VASP.

Values from the calculation:
Total magnetization   0.0 Bohr magnetons per cell
Volume   98 Å³/cell

Cell and atoms, written as Quantum ESPRESSO input:
```
&SYSTEM
  ibrav = 0, nat = 4, ntyp = 3
/
ATOMIC_SPECIES
Hf 178.49 Hf.upf
Ag 107.87 Ag.upf
Er 167.26 Er.upf
ATOMIC_POSITIONS crystal
Hf 0.500 0.500 0.500
Ag 0.500 0.500 0.000
Er 0.000 0.000 0.763
Er 0.000 0.000 0.237
CELL_PARAMETERS angstrom
-2.030 -1.276 -2.393
-0.576 -2.718 1.938
-6.707 3.968 3.574
```



Relative calculated energies, zero for the most stable structure, unit eV/atom: 1 0.426; 2 0.000.



--- 1 ---
VASP calculation (PBE) on a geometry-optimized ErHfAg2 structure. Values from VASP.

Values from the calculation:
Total magnetization   0.5 Bohr magnetons per cell
Volume   86 Å³/cell

Cell and atoms, written as Quantum ESPRESSO input:
```
&SYSTEM
  ibrav = 0, nat = 4, ntyp = 3
/
ATOMIC_SPECIES
Hf 178.49 Hf.upf
Ag 107.87 Ag.upf
Er 167.26 Er.upf
ATOMIC_POSITIONS crystal
Hf 0.500 0.500 0.000
Ag 0.000 0.000 0.767
Ag 0.000 0.000 0.233
Er 0.500 0.500 0.500
CELL_PARAMETERS angstrom
-0.753 2.369 2.328
1.556 -1.857 2.394
6.390 3.467 -1.462
```



--- 2 ---
VASP calculation (PBE) on a geometry-optimized ErHfAg2 structure. Values from VASP.

Values from the calculation:
Total magnetization   0.9 Bohr magnetons per cell
Volume   86 Å³/cell

Cell and atoms, written as Quantum ESPRESSO input:
```
&SYSTEM
  ibrav = 0, nat = 4, ntyp = 3
/
ATOMIC_SPECIES
Hf 178.49 Hf.upf
Ag 107.87 Ag.upf
Er 167.26 Er.upf
ATOMIC_POSITIONS crystal
Hf 0.500 0.500 0.500
Ag 0.250 0.250 0.250
Ag 0.750 0.750 0.750
Er 0.000 0.000 0.000
CELL_PARAMETERS angstrom
-0.485 0.393 -4.919
2.993 -2.574 -3.000
-1.796 -3.803 -2.626
```



Relative calculated energies, zero for the most stable structure, unit eV/atom: 1 0.000; 2 0.036.



--- 1 ---
VASP calculation (PBE) on a geometry-optimized Er2AgHg2 structure. Values from VASP.

Values from the calculation:
Total magnetization   0.0 Bohr magnetons per cell
Volume   252 Å³/cell

Cell and atoms, written as Quantum ESPRESSO input:
```
&SYSTEM
  ibrav = 0, nat = 10, ntyp = 3
/
ATOMIC_SPECIES
Er 167.26 Er.upf
Ag 107.87 Ag.upf
Hg 200.59 Hg.upf
ATOMIC_POSITIONS crystal
Er 0.334 0.568 0.668
Er 0.666 0.432 0.332
Er 0.166 0.900 0.332
Er 0.834 0.100 0.668
Ag 0.750 0.500 0.000
Ag 0.250 0.500 0.000
Hg 0.902 0.738 0.805
Hg 0.098 0.262 0.195
Hg 0.598 0.933 0.195
Hg 0.402 0.067 0.805
CELL_PARAMETERS angstrom
5.917 0.000 0.000
0.000 6.650 0.000
-2.958 -3.325 6.401
```



--- 2 ---
VASP calculation (PBE) on a geometry-optimized Er2AgHg2 structure. Values from VASP.

Values from the calculation:
Total magnetization   0.0 Bohr magnetons per cell
Volume   246 Å³/cell

Cell and atoms, written as Quantum ESPRESSO input:
```
&SYSTEM
  ibrav = 0, nat = 10, ntyp = 3
/
ATOMIC_SPECIES
Er 167.26 Er.upf
Ag 107.87 Ag.upf
Hg 200.59 Hg.upf
ATOMIC_POSITIONS crystal
Er 0.500 0.165 0.665
Er 0.500 0.665 0.835
Er 0.500 0.835 0.335
Er 0.500 0.335 0.165
Ag 0.000 0.000 0.000
Ag 0.000 0.500 0.500
Hg 0.000 0.364 0.864
Hg 0.000 0.864 0.636
Hg 0.000 0.636 0.136
Hg 0.000 0.136 0.364
CELL_PARAMETERS angstrom
-3.900 -0.257 0.494
-0.972 -0.295 -7.831
0.547 -7.875 0.229
```



Relative calculated energies, zero for the most stable structure, unit eV/atom: 1 0.103; 2 0.000.



--- 1 ---
VASP calculation (PBE) on a geometry-optimized Er3Ag4Hg2 structure. Values from VASP.

Values from the calculation:
Total magnetization   0.0 Bohr magnetons per cell
Volume   408 Å³/cell

Cell and atoms, written as Quantum ESPRESSO input:
```
&SYSTEM
  ibrav = 0, nat = 18, ntyp = 3
/
ATOMIC_SPECIES
Er 167.26 Er.upf
Ag 107.87 Ag.upf
Hg 200.59 Hg.upf
ATOMIC_POSITIONS crystal
Er 0.078 0.957 0.712
Er 0.422 0.288 0.043
Er 0.922 0.043 0.288
Er 0.578 0.712 0.957
Er 0.250 0.369 0.631
Er 0.750 0.631 0.369
Ag 0.522 0.064 0.827
Ag 0.978 0.173 0.936
Ag 0.478 0.936 0.173
Ag 0.022 0.827 0.064
Ag 0.632 0.855 0.596
Ag 0.868 0.404 0.145
Ag 0.368 0.145 0.404
Ag 0.132 0.596 0.855
Hg 0.191 0.741 0.488
Hg 0.309 0.512 0.259
Hg 0.809 0.259 0.512
Hg 0.691 0.488 0.741
CELL_PARAMETERS angstrom
0.287 0.875 5.191
-1.908 -8.321 2.835
8.111 -3.595 1.484
```



--- 2 ---
VASP calculation (PBE) on a geometry-optimized Er3Ag4Hg2 structure. Values from VASP.

Values from the calculation:
Total magnetization   0.0 Bohr magnetons per cell
Volume   203 Å³/cell

Cell and atoms, written as Quantum ESPRESSO input:
```
&SYSTEM
  ibrav = 0, nat = 9, ntyp = 3
/
ATOMIC_SPECIES
Er 167.26 Er.upf
Ag 107.87 Ag.upf
Hg 200.59 Hg.upf
ATOMIC_POSITIONS crystal
Er 0.644 0.288 0.740
Er 0.000 0.000 0.000
Er 0.356 0.712 0.260
Ag 0.672 0.345 0.070
Ag 0.328 0.655 0.930
Ag 0.970 0.941 0.656
Ag 0.030 0.059 0.344
Hg 0.698 0.396 0.395
Hg 0.302 0.604 0.605
CELL_PARAMETERS angstrom
5.113 0.000 0.000
-2.557 4.409 0.263
0.000 -1.179 8.946
```



Relative calculated energies, zero for the most stable structure, unit eV/atom: 1 0.010; 2 0.000.